[1]
This record from Alexandria describes Ag3RuSe after structural relaxation. The functional is PBE.

abc: 4.898 4.898 4.898
angles: 90.00 90.00 90.00
Space group Pm-3m (No. 221)
Symmetry-distinct sites (fractional):
Ag1 0.000 0.000 0.500
Ru1 0.500 0.500 0.500
Se1 0.000 0.000 0.000

Results
Total energy: -15.63 eV per cell

---

[2]
This record from Alexandria describes Hf2ZrPtN after structural relaxation. The functional is PBE.

abc: 4.379 4.379 4.432
angles: 90.00 90.00 90.00
Space group P4/mmm (No. 123)
Symmetry-distinct sites (fractional):
Hf1 0.000 0.500 0.000
Zr1 0.000 0.000 0.500
Pt1 0.500 0.500 0.500
N1 0.000 0.000 0.000

Results
Total energy: -48.47 eV per cell

---

[3]
This record from Alexandria describes OsO2F2 after structural relaxation. The functional is PBE.

abc: 5.081 5.434 8.234
angles: 70.73 89.57 63.49
Space group P-1 (No. 2)
Symmetry-distinct sites (fractional):
Os1 0.219 0.497 0.251
O1 0.065 0.268 0.918
O2 0.161 0.259 0.423
F1 0.396 0.696 0.807
F2 0.419 0.692 0.305

Results
Total energy: -61.11 eV per cell

---

Number 3 is which compound?
OsO2F2